The following is a GGA-PBE calculation of an optimized crystal structure of LaTb4Pm3, from the Alexandria database.

a b c (Å): 6.340 7.348 11.642
angles (deg): 90.00 90.00 90.00
Sites, in units of the cell vectors:
La1 0.145 0.375 0.000
La2 0.645 0.625 0.500
Tb1 0.148 0.877 0.000
Tb2 0.648 0.121 0.000
Tb3 0.981 0.122 0.251
Tb4 0.481 0.878 0.249
Tb5 0.148 0.879 0.500
Tb6 0.648 0.123 0.500
Tb7 0.481 0.878 0.751
Tb8 0.981 0.122 0.749
Pm1 0.648 0.628 0.000
Pm2 0.982 0.628 0.251
Pm3 0.482 0.372 0.249
Pm4 0.148 0.372 0.500
Pm5 0.482 0.372 0.751
Pm6 0.982 0.628 0.749

Values from the calculation:
Calculated volume: 542.34 Å³ per cell
Crystal system: orthorhombic
Total DFT energy (no corrections): -4.683 eV per atom
ΔE to the lowest computed polymorph: 0 meV per atom
Energy of formation from the pure elements: 0.030 eV/atom